1.
VASP calculation (GGA-PBE) on Sm3Y8 after structural relaxation.

abc: 32.1576 32.1576 32.1576
angles: 6.40 6.40 6.40
Atoms (fractional coordinates):
Sm1 0.0000 0.0000 0.0000
Sm2 0.2726 0.2726 0.2726
Sm3 0.7274 0.7274 0.7274
Y1 0.0911 0.0911 0.0911
Y2 0.1818 0.1818 0.1818
Y3 0.3637 0.3637 0.3637
Y4 0.4546 0.4546 0.4546
Y5 0.5454 0.5454 0.5454
Y6 0.6363 0.6363 0.6363
Y7 0.8182 0.8182 0.8182
Y8 0.9089 0.9089 0.9089

Properties
**Energy of formation**: 0.019 eV per atom
**Volume**: 32.55 Å³/atom
**SG**: R-3m, No. 166
**Total moment**: 0.0 μB per cell

***

2.
VASP calculation (GGA-PBE) on Sm6Y7 after structural relaxation.

abc: 12.4163 12.4163 12.4163
angles: 31.07 31.07 31.07
Atoms (fractional coordinates):
Sm1 0.0465 0.0465 0.0465
Sm2 0.1487 0.1487 0.1487
Sm3 0.3337 0.3337 0.3337
Sm4 0.6663 0.6663 0.6663
Sm5 0.8513 0.8513 0.8513
Sm6 0.9535 0.9535 0.9535
Y1 0.0840 0.5881 0.5881
Y2 0.4119 0.4119 0.9160
Y3 0.4119 0.9160 0.4119
Y4 0.5000 0.5000 0.5000
Y5 0.5881 0.0840 0.5881
Y6 0.5881 0.5881 0.0840
Y7 0.9160 0.4119 0.4119

Properties
**Energy of formation**: 0.277 eV per atom
**Volume**: 34.80 Å³/atom
**SG**: R-3m, No. 166
**Total moment**: 8.4 μB per cell

***

3.
VASP calculation (GGA-PBE) on SmY2 after structural relaxation.

abc: 8.0152 8.0152 7.1820
angles: 103.00 103.00 25.88
Atoms (fractional coordinates):
Sm1 0.1671 0.1671 0.0836
Sm2 0.8329 0.8329 0.9164
Y1 0.1662 0.1662 0.5827
Y2 0.5003 0.5003 0.2508
Y3 0.4997 0.4997 0.7492
Y4 0.8338 0.8338 0.4173

Properties
**Energy of formation**: 0.018 eV per atom
**Volume**: 32.66 Å³/atom
**SG**: C2/m, No. 12
**Total moment**: 0.0 μB per cell

***

4.
VASP calculation (GGA-PBE) on Sm5Y3 after structural relaxation.

abc: 5.0900 5.1082 10.2026
angles: 90.00 90.00 90.00
Atoms (fractional coordinates):
Sm1 0.0000 0.0000 0.0000
Sm2 0.0000 0.0000 0.5000
Sm3 0.0000 0.5000 0.2502
Sm4 0.0000 0.5000 0.7498
Sm5 0.5000 0.5000 0.0000
Y1 0.5000 0.0000 0.2505
Y2 0.5000 0.0000 0.7495
Y3 0.5000 0.5000 0.5000

Properties
**Energy of formation**: 0.020 eV per atom
**Volume**: 33.16 Å³/atom
**SG**: Pmmm, No. 47
**Total moment**: 0.0 μB per cell

***

5.
VASP calculation (GGA-PBE) on SmY3 after structural relaxation.

abc: 6.7773 6.7773 6.7773
angles: 148.63 65.30 124.34
Atoms (fractional coordinates):
Sm1 0.0000 0.0000 0.0000
Y1 0.4162 0.6658 0.7503
Y2 0.4989 0.9989 0.5000
Y3 0.9155 0.6658 0.2497

Properties
**Energy of formation**: 0.007 eV per atom
**Volume**: 33.08 Å³/atom
**SG**: Imm2, No. 44
**Total moment**: 0.0 μB per cell

***

6.
VASP calculation (GGA-PBE) on Sm7Y6 after structural relaxation.

abc: 12.2963 12.2963 12.2963
angles: 31.15 31.15 31.15
Atoms (fractional coordinates):
Sm1 0.0000 0.0000 0.0000
Sm2 0.0932 0.0932 0.5798
Sm3 0.0932 0.5798 0.0932
Sm4 0.4202 0.9068 0.9068
Sm5 0.5798 0.0932 0.0932
Sm6 0.9068 0.4202 0.9068
Sm7 0.9068 0.9068 0.4202
Y1 0.1659 0.1659 0.1659
Y2 0.3527 0.3527 0.3527
Y3 0.4544 0.4544 0.4544
Y4 0.5456 0.5456 0.5456
Y5 0.6473 0.6473 0.6473
Y6 0.8341 0.8341 0.8341

Properties
**Energy of formation**: 0.225 eV per atom
**Volume**: 33.96 Å³/atom
**SG**: R-3m, No. 166
**Total moment**: 0.0 μB per cell

***

7.
VASP calculation (GGA-PBE) on Sm5Y4 after structural relaxation.

abc: 8.0553 8.0553 5.0848
angles: 108.33 108.33 84.29
Atoms (fractional coordinates):
Sm1 0.0000 0.0000 0.0000
Sm2 0.3331 0.3331 0.3330
Sm3 0.3331 0.6669 0.0000
Sm4 0.6669 0.3331 0.0000
Sm5 0.6669 0.6669 0.6670
Y1 0.0000 0.3331 0.6666
Y2 0.0000 0.6669 0.3334
Y3 0.3331 0.0000 0.6666
Y4 0.6669 0.0000 0.3334

Properties
**Energy of formation**: 0.017 eV per atom
**Volume**: 33.04 Å³/atom
**SG**: C2/m, No. 12
**Total moment**: 0.0 μB per cell

***

8.
VASP calculation (GGA-PBE) on SmY2 after structural relaxation.

abc: 3.6202 3.6202 8.9076
angles: 101.79 101.79 60.02
Atoms (fractional coordinates):
Sm1 0.0000 0.0000 0.0000
Y1 0.2215 0.2215 0.6650
Y2 0.7785 0.7785 0.3350

Properties
**Energy of formation**: -0.008 eV per atom
**Volume**: 32.75 Å³/atom
**SG**: C2/m, No. 12
**Total moment**: 0.0 μB per cell

***

9.
VASP calculation (GGA-PBE) on Sm3Y13 after structural relaxation.

abc: 7.3268 8.5118 8.5118
angles: 83.88 90.00 90.00
Atoms (fractional coordinates):
Sm1 0.0000 0.0000 0.0000
Sm2 0.2506 0.7489 0.7489
Sm3 0.7494 0.7489 0.7489
Y1 0.0000 0.4155 0.9168
Y2 0.0000 0.4989 0.4989
Y3 0.0000 0.9168 0.4155
Y4 0.2502 0.1676 0.6654
Y5 0.2500 0.2498 0.2498
Y6 0.2502 0.6654 0.1676
Y7 0.5000 0.0002 0.0002
Y8 0.5000 0.4163 0.9179
Y9 0.5000 0.4989 0.4989
Y10 0.5000 0.9179 0.4163
Y11 0.7498 0.1676 0.6654
Y12 0.7500 0.2498 0.2498
Y13 0.7498 0.6654 0.1676

Properties
**Energy of formation**: 0.005 eV per atom
**Volume**: 32.99 Å³/atom
**SG**: Amm2, No. 38
**Total moment**: 0.0 μB per cell

***

10.
VASP calculation (GGA-PBE) on Sm6Y5 after structural relaxation.

abc: 8.4737 8.4737 6.1156
angles: 106.75 106.75 105.38
Atoms (fractional coordinates):
Sm1 0.0484 0.3201 0.5984
Sm2 0.1797 0.1797 0.0755
Sm3 0.3201 0.0484 0.5984
Sm4 0.6799 0.9516 0.4016
Sm5 0.8203 0.8203 0.9245
Sm6 0.9516 0.6799 0.4016
Y1 0.2321 0.7679 0.0000
Y2 0.3677 0.6323 0.5000
Y3 0.5000 0.5000 0.0000
Y4 0.6323 0.3677 0.5000
Y5 0.7679 0.2321 0.0000

Properties
**Energy of formation**: 0.126 eV per atom
**Volume**: 33.86 Å³/atom
**SG**: C2/m, No. 12
**Total moment**: 0.0 μB per cell

***

11.
VASP calculation (GGA-PBE) on SmY8 after structural relaxation.

abc: 8.0045 8.0045 8.0045
angles: 95.71 95.71 143.22
Atoms (fractional coordinates):
Sm1 0.0000 0.0000 0.0000
Y1 0.0000 0.3333 0.3333
Y2 0.0000 0.6667 0.6667
Y3 0.3333 0.0000 0.3333
Y4 0.3334 0.3334 0.6667
Y5 0.3334 0.6666 0.0000
Y6 0.6667 0.0000 0.6667
Y7 0.6666 0.3334 0.0000
Y8 0.6666 0.6666 0.3333

Properties
**Energy of formation**: 0.022 eV per atom
**Volume**: 32.38 Å³/atom
**SG**: I4/mmm, No. 139
**Total moment**: 0.0 μB per cell

***

12.
VASP calculation (GGA-PBE) on Sm2Y7 after structural relaxation.

abc: 6.2076 6.2076 8.7734
angles: 90.00 90.00 120.00
Atoms (fractional coordinates):
Sm1 0.3333 0.6667 0.0000
Sm2 0.6667 0.3333 0.0000
Y1 0.0000 0.0000 0.0000
Y2 0.0000 0.3334 0.6656
Y3 0.0000 0.6666 0.3344
Y4 0.3334 0.0000 0.6656
Y5 0.3334 0.3334 0.3344
Y6 0.6666 0.0000 0.3344
Y7 0.6666 0.6666 0.6656

Properties
**Energy of formation**: 0.021 eV per atom
**Volume**: 32.53 Å³/atom
**SG**: P-31m, No. 162
**Total moment**: 0.0 μB per cell